Entry 1:
# Ca2HF

Crystalline Ca2HF at its relaxed geometry (GGA-PBE, the Alexandria database).

Its energy above the lowest structure with this stoichiometry is 551.3 meV per atom.

It has space group Fm-3m (No. 225), with a = 6.680 Å, b = 6.680 Å, c = 6.680 Å, α = 90.00°, β = 90.00° and γ = 90.00°. The asymmetric unit holds Ca at (0.250, 0.250, 0.250), H at (0.000, 0.000, 0.000) and F at (0.000, 0.000, 0.500).

Entry 2:
# Pr5HoPb5

Crystalline Pr5HoPb5 at its relaxed geometry (GGA-PBE, the Alexandria database).

The energy of formation is -324 meV/atom.

It has space group C2/m (No. 12), with a = 14.900 Å, b = 6.439 Å, c = 8.675 Å, α = 90.00°, β = 107.41° and γ = 90.00°. The asymmetric unit holds Pr at (0.000, 0.000, 0.000), Pr at (0.164, 0.500, 0.326), Pr at (0.171, 0.500, 0.833), Ho at (0.000, 0.000, 0.500), Pb at (0.000, 0.500, 0.500), Pb at (0.162, 0.000, 0.829) and Pb at (0.163, 0.000, 0.340).

Entry 3:
# Cs2AuI2

Crystalline Cs2AuI2 at its relaxed geometry (GGA-PBE, the Alexandria database).

As for the formation energy from raw total energies: -0.793 eV per atom. Its energy above the lowest structure with this stoichiometry is 0.0 meV per atom.

It has space group I4/mmm (No. 139), with a = 7.494 Å, b = 7.494 Å, c = 9.766 Å, α = 90.00°, β = 90.00° and γ = 90.00°. The asymmetric unit holds Cs at (0.000, 0.500, 0.250), Au at (0.000, 0.000, 0.000) and I at (0.000, 0.000, 0.305).

Entry 4:
# LaEr3Ag2

Crystalline LaEr3Ag2 at its relaxed geometry (GGA-PBE, the Alexandria database).

The energy of formation is -202 meV/atom.

It has space group P4/mmm (No. 123), with a = 3.616 Å, b = 3.616 Å, c = 12.398 Å, α = 90.00°, β = 90.00° and γ = 90.00°. The asymmetric unit holds La at (0.000, 0.000, 0.000), Er at (0.500, 0.500, 0.212), Er at (0.500, 0.500, 0.500) and Ag at (0.000, 0.000, 0.353).